# 1
{
  "formula": "LiMoBr2",
  "functional": "PBE-GGA",
  "state": "relaxed",
  "lattice_angstrom": [[1.708, 0.986, 7.646], [-1.708, 0.986, 7.646], [0.000, -1.972, 7.646]],
  "species": ["Li", "Mo", "Br", "Br"],
  "fractional_positions": [[0.000, 0.000, 0.000], [0.500, 0.500, 0.500], [0.256, 0.256, 0.256], [0.744, 0.744, 0.744]],
  "space_group": "No. 166",
  "e_form_raw_ev_per_atom": 0.005,
  "crystal_system": "trigonal",
  "e_above_lowest_polymorph_kcal_per_mol_atoms": 2.71
}

***

# 2
{
  "formula": "CsLiICl",
  "functional": "PBE-GGA",
  "state": "relaxed",
  "lattice_angstrom": [[4.619, 0.000, 0.000], [0.000, 4.619, 0.000], [0.000, 0.000, 7.664]],
  "species": ["Cs", "Li", "I", "Cl"],
  "fractional_positions": [[0.000, 0.000, 0.000], [0.500, 0.500, 0.500], [0.000, 0.000, 0.500], [0.500, 0.500, 0.000]],
  "space_group": "No. 123",
  "e_form_raw_ev_per_atom": -1.416,
  "crystal_system": "tetragonal",
  "e_above_lowest_polymorph_kcal_per_mol_atoms": 3.69
}

***

# 3
{
  "formula": "Cu3Sn",
  "functional": "PBE-GGA",
  "state": "relaxed",
  "lattice_angstrom": [[5.589, 0.000, 0.000], [-2.794, 4.840, 0.000], [0.000, 0.000, 4.302]],
  "species": ["Cu", "Cu", "Cu", "Cu", "Cu", "Cu", "Sn", "Sn"],
  "fractional_positions": [[0.156, 0.311, 0.250], [0.156, 0.844, 0.250], [0.311, 0.156, 0.750], [0.689, 0.844, 0.250], [0.844, 0.156, 0.750], [0.844, 0.689, 0.750], [0.333, 0.667, 0.750], [0.667, 0.333, 0.250]],
  "space_group": "No. 194",
  "final_energy_ry_per_atom": -0.3000,
  "crystal_system": "hexagonal"
}